Ce2Al4ZnPd3 (GGA-PBE, optimized geometry); total DFT energy (no corrections) = -5.069 eV/atom; energy of formation from the pure elements = -0.70 eV/atom; total magnetic moment = 1.29 μB per cell
1.0
4.288 0.000 0.000
0.000 4.288 0.000
0.000 0.000 10.469
Al Ce Pd Zn
4 2 3 1
Direct
0.500 0.000 0.632 Al
0.000 0.000 0.000 Al
0.500 0.500 0.000 Al
0.000 0.500 0.368 Al
0.000 0.500 0.750 Ce
0.500 0.000 0.250 Ce
0.000 0.500 0.131 Pd
0.500 0.000 0.869 Pd
0.000 0.000 0.500 Pd
0.500 0.500 0.500 Zn

---

InSnBr6 (GGA-PBE, optimized geometry); total DFT energy (no corrections) = -2.728 eV/atom; total magnetic moment = 0.00 μB per cell
1.0
6.932 0.010 0.006
3.458 6.009 0.010
3.458 1.998 6.318
Br Sn In
6 1 1
Direct
0.907 0.585 0.254 Br
0.585 0.254 0.254 Br
0.415 0.746 0.746 Br
0.746 0.093 0.746 Br
0.093 0.415 0.746 Br
0.254 0.907 0.254 Br
0.000 0.000 0.000 Sn
0.500 0.500 0.500 In

---

CrMoPb2 (GGA-PBE, optimized geometry); total DFT energy (no corrections) = -6.176 eV/atom; energy above the lowest structure with this stoichiometry = 410.0 meV per atom; energy of formation from the pure elements = 0.79 eV/atom; total magnetic moment = 4.25 μB per cell
1.0
-4.138 6.137 5.252
-2.936 4.045 7.575
-0.975 6.448 6.311
Pb Mo Cr
2 1 1
Direct
0.498 0.498 0.498 Pb
0.002 0.002 0.002 Pb
0.750 0.750 0.750 Mo
0.250 0.250 0.250 Cr

---

AcY2Zn2Ga2 (GGA-PBE, optimized geometry); total DFT energy (no corrections) = -4.069 eV/atom; energy of formation from the pure elements = -0.41 eV/atom; total magnetic moment = 0.00 μB per cell
1.0
4.504 0.000 0.000
2.252 3.901 0.000
2.252 1.300 9.835
Ac Y Ga Zn
1 2 2 2
Direct
0.000 0.000 0.000 Ac
0.130 0.130 0.611 Y
0.870 0.870 0.389 Y
0.748 0.748 0.756 Ga
0.252 0.252 0.244 Ga
0.591 0.591 0.228 Zn
0.409 0.409 0.772 Zn

---

- Number 3 is which compound?
  CrMoPb2